1.
First-principles (PBE) data for a relaxed structure of ThZrAl4, as listed in Alexandria.

Lattice parameters (Å, degrees): 5.5320 5.5320 5.5320 60.00 60.00 60.00
Last column: nearest neighbours and their distance in Å.
Atoms (fractional coordinates):
Zr 0.0000 0.0000 0.0000  12 Al 3.24, 4 Th 3.39
Th 0.2500 0.2500 0.2500  12 Al 3.24, 4 Zr 3.39
Al 0.6251 0.6251 0.1248  6 Al 2.76-2.77
Al 0.6251 0.1248 0.6251  6 Al 2.76-2.77
Al 0.6251 0.6251 0.6251  6 Al 2.76-2.77
Al 0.1248 0.6251 0.6251  6 Al 2.76-2.77

E ... -5.5700 eV/atom
Spin magnetization ... 0.00 μB per cell
Symmetry ... F-43m
ΔH_f (0 K) ... -0.41 eV/atom
Density of states at the Fermi level ... 4.0 states/eV/cell

=====

2.
First-principles (PBE) data for a relaxed structure of BeCl3, as listed in Alexandria.

Lattice parameters (Å, degrees): 5.1752 5.1752 10.6764 90.00 90.00 147.34
Last column: nearest neighbours and their distance in Å.
Atoms (fractional coordinates):
Be 0.0000 0.0000 0.0000  4 Cl 2.07
Cl 0.5000 0.5000 0.8621  2 Be 2.07
Cl 0.0000 0.0000 0.5000  2 Cl 2.91
Cl 0.5000 0.5000 0.1379  2 Be 2.07

E above lowest polymorph ... 206 meV/atom
E ... -2.9031 eV/atom
Spin magnetization ... 0.33 μB per cell
Symmetry ... Cmmm
Density of states at the Fermi level ... 3.3 states/eV/cell
ΔE_f (raw) ... -2.35 eV/f.u.

=====

3.
First-principles (PBE) data for a relaxed structure of Cr2AsSe, as listed in Alexandria.

Lattice parameters (Å, degrees): 3.2572 3.2255 6.9357 68.63 90.00 90.00
Last column: nearest neighbours and their distance in Å.
Atoms (fractional coordinates):
As 0.5000 0.7500 0.7500  8 Cr 2.63-2.92
Cr 0.0000 0.9841 0.9912  4 As 2.63-2.92, 4 Se 2.78-2.90
Cr 0.0000 0.5159 0.5088  4 As 2.63-2.92, 4 Se 2.78-2.90
Se 0.5000 0.2500 0.2500  8 Cr 2.78-2.90

E above lowest polymorph ... 375 meV/atom
E ... -6.7137 eV/atom
Spin magnetization ... 6.93 μB per cell
Symmetry ... P2/m
Density of states at the Fermi level ... 2.4 states/eV/cell
ΔE_f (raw) ... 0.53 eV/f.u.